No. 1
# PBE KTaRh2, relaxed
data_KTaRh2
_chemical_formula_sum 'K3 Ta3 Rh6'
_cell_length_a 2.8763
_cell_length_b 2.8763
_cell_length_c 31.4670
_cell_angle_alpha 90.00
_cell_angle_beta 90.00
_cell_angle_gamma 120.00
_space_group_name_H-M_alt 'R 3 m'
_space_group_IT_number 160
_space_group_name_Hall 'R 3 -2"'
loop_
_atom_site_label
_atom_site_type_symbol
_atom_site_fract_x
_atom_site_fract_y
_atom_site_fract_z
K1 K 0.0000 0.0000 0.0000
Ta1 Ta 0.0000 0.0000 0.7724
Rh1 Rh 0.0000 0.0000 0.2453
Rh2 Rh 0.0000 0.0000 0.5079
# - relative energy among the computed polymorphs (eV/atom) = 0.435
# - total moment (Bohr magnetons per cell) = 3.6
# - energy of formation from the pure elements (eV/atom) = 0.529
# - crystal system = trigonal
# - VASP energy (eV per formula unit) = -25.54

=====

No. 2
# PBE Li2Mg17, relaxed
data_Li2Mg17
_chemical_formula_sum 'Li6 Mg51'
_cell_length_a 10.3174
_cell_length_b 10.3174
_cell_length_c 15.4268
_cell_angle_alpha 90.00
_cell_angle_beta 90.00
_cell_angle_gamma 120.00
_space_group_name_H-M_alt 'R -3 m'
_space_group_IT_number 166
_space_group_name_Hall '-R 3 2"'
loop_
_atom_site_label
_atom_site_type_symbol
_atom_site_fract_x
_atom_site_fract_y
_atom_site_fract_z
Li1 Li 0.0000 0.0000 0.1915
Mg1 Mg 0.0000 0.0000 0.4027
Mg2 Mg 0.0000 0.3075 0.5000
Mg3 Mg 0.0000 0.5000 0.0000
Mg4 Mg 0.0011 0.5006 0.6545
# - total moment (Bohr magnetons per cell) = 0.0
# - energy of formation from the pure elements (eV/atom) = 0.084
# - crystal system = trigonal
# - VASP energy (eV per formula unit) = -29.33

=====

No. 3
# PBE CePuCd2, relaxed
data_CePuCd2
_chemical_formula_sum 'Ce1 Pu1 Cd2'
_cell_length_a 4.469
_cell_length_b 4.469
_cell_length_c 5.011
_cell_angle_alpha 90.00
_cell_angle_beta 90.00
_cell_angle_gamma 90.00
_space_group_name_H-M_alt 'P 4/m m m'
_space_group_IT_number 123
_space_group_name_Hall '-P 4 2'
loop_
_atom_site_label
_atom_site_type_symbol
_atom_site_fract_x
_atom_site_fract_y
_atom_site_fract_z
Ce1 Ce 0.000 0.000 0.000
Pu1 Pu 0.500 0.500 0.000
Cd1 Cd 0.000 0.500 0.500
# - relative energy among the computed polymorphs (eV/atom) = 0.000
# - total moment (Bohr magnetons per cell) = 7.0
# - energy of formation from the pure elements (eV/atom) = -0.109
# - crystal system = tetragonal
# - VASP energy (eV per formula unit) = -22.53

=====

No. 4
# PBE ErMgTc, relaxed
data_ErMgTc
_chemical_formula_sum 'Er4 Mg4 Tc4'
_cell_length_a 4.861
_cell_length_b 15.669
_cell_length_c 3.312
_cell_angle_alpha 90.00
_cell_angle_beta 90.00
_cell_angle_gamma 90.00
_space_group_name_H-M_alt 'C m c m'
_space_group_IT_number 63
_space_group_name_Hall '-C 2c 2'
loop_
_atom_site_label
_atom_site_type_symbol
_atom_site_fract_x
_atom_site_fract_y
_atom_site_fract_z
Er1 Er 0.000 0.089 0.250
Mg1 Mg 0.000 0.281 0.750
Tc1 Tc 0.000 0.438 0.250
# - total moment (Bohr magnetons per cell) = 0.0
# - energy of formation from the pure elements (eV/atom) = -0.002
# - crystal system = orthorhombic
# - VASP energy (eV per formula unit) = -16.53

=====

No. 5
# PBE TcAs2W, relaxed
data_TcAs2W
_chemical_formula_sum 'Tc2 As4 W2'
_cell_length_a 4.073
_cell_length_b 4.073
_cell_length_c 7.605
_cell_angle_alpha 90.00
_cell_angle_beta 90.00
_cell_angle_gamma 90.00
_space_group_name_H-M_alt 'I -4 m 2'
_space_group_IT_number 119
_space_group_name_Hall 'I -4 -2'
loop_
_atom_site_label
_atom_site_type_symbol
_atom_site_fract_x
_atom_site_fract_y
_atom_site_fract_z
Tc1 Tc 0.000 0.000 0.000
As1 As 0.000 0.000 0.500
As2 As 0.000 0.500 0.250
W1 W 0.000 0.500 0.750
# - relative energy among the computed polymorphs (eV/atom) = 0.340
# - total moment (Bohr magnetons per cell) = 0.0
# - energy of formation from the pure elements (eV/atom) = 0.371
# - crystal system = tetragonal
# - VASP energy (eV per formula unit) = -31.14

=====

No. 6
# PBE Ba2NdEu, relaxed
data_Ba2NdEu
_chemical_formula_sum 'Ba8 Nd4 Eu4'
_cell_length_a 9.211
_cell_length_b 9.211
_cell_length_c 9.211
_cell_angle_alpha 90.00
_cell_angle_beta 90.00
_cell_angle_gamma 90.00
_space_group_name_H-M_alt 'F m -3 m'
_space_group_IT_number 225
_space_group_name_Hall '-F 4 2 3'
loop_
_atom_site_label
_atom_site_type_symbol
_atom_site_fract_x
_atom_site_fract_y
_atom_site_fract_z
Ba1 Ba 0.250 0.250 0.250
Nd1 Nd 0.000 0.000 0.000
Eu1 Eu 0.000 0.000 0.500
# - relative energy among the computed polymorphs (eV/atom) = 0.043
# - total moment (Bohr magnetons per cell) = 29.2
# - energy of formation from the pure elements (eV/atom) = 0.186
# - crystal system = cubic
# - VASP energy (eV per formula unit) = -18.14

=====

No. 7
# PBE NaPmTeS, relaxed
data_NaPmTeS
_chemical_formula_sum 'Na3 Pm3 Te3 S3'
_cell_length_a 4.2943
_cell_length_b 4.2943
_cell_length_c 21.5386
_cell_angle_alpha 90.00
_cell_angle_beta 90.00
_cell_angle_gamma 120.00
_space_group_name_H-M_alt 'R 3 m'
_space_group_IT_number 160
_space_group_name_Hall 'R 3 -2"'
loop_
_atom_site_label
_atom_site_type_symbol
_atom_site_fract_x
_atom_site_fract_y
_atom_site_fract_z
Na1 Na 0.0000 0.0000 0.0000
Pm1 Pm 0.0000 0.0000 0.4832
Te1 Te 0.0000 0.0000 0.2400
S1 S 0.0000 0.0000 0.7511
# - total moment (Bohr magnetons per cell) = 0.0
# - formation energy without anion corrections (eV/atom) = -1.540
# - crystal system = trigonal
# - VASP energy (eV per formula unit) = -19.50

=====

No. 8
# PBE Li2HoGe2, relaxed
data_Li2HoGe2
_chemical_formula_sum 'Li4 Ho2 Ge4'
_cell_length_a 3.313
_cell_length_b 3.313
_cell_length_c 19.933
_cell_angle_alpha 90.00
_cell_angle_beta 90.00
_cell_angle_gamma 90.00
_space_group_name_H-M_alt 'I 4/m m m'
_space_group_IT_number 139
_space_group_name_Hall '-I 4 2'
loop_
_atom_site_label
_atom_site_type_symbol
_atom_site_fract_x
_atom_site_fract_y
_atom_site_fract_z
Li1 Li 0.000 0.500 0.250
Ho1 Ho 0.000 0.000 0.000
Ge1 Ge 0.000 0.000 0.143
# - relative energy among the computed polymorphs (eV/atom) = 0.769
# - total moment (Bohr magnetons per cell) = 1.1
# - energy of formation from the pure elements (eV/atom) = 0.210
# - crystal system = tetragonal
# - VASP energy (eV per formula unit) = -16.59

=====

No. 9
# PBE Sr5Sb2PI, relaxed
data_Sr5Sb2PI
_chemical_formula_sum 'Sr10 Sb4 P2 I2'
_cell_length_a 5.610
_cell_length_b 8.182
_cell_length_c 16.345
_cell_angle_alpha 90.00
_cell_angle_beta 90.00
_cell_angle_gamma 90.00
_space_group_name_H-M_alt 'I m m m'
_space_group_IT_number 71
_space_group_name_Hall '-I 2 2'
loop_
_atom_site_label
_atom_site_type_symbol
_atom_site_fract_x
_atom_site_fract_y
_atom_site_fract_z
Sr1 Sr 0.000 0.000 0.000
Sr2 Sr 0.000 0.273 0.353
Sb1 Sb 0.000 0.000 0.205
P1 P 0.000 0.500 0.500
I1 I 0.000 0.500 0.000
# - total moment (Bohr magnetons per cell) = 0.0
# - formation energy without anion corrections (eV/atom) = -1.085
# - crystal system = orthorhombic
# - VASP energy (eV per formula unit) = -33.38

=====

No. 10
# PBE LaMoBr2, relaxed
data_LaMoBr2
_chemical_formula_sum 'La1 Mo1 Br2'
_cell_length_a 4.768
_cell_length_b 3.625
_cell_length_c 7.421
_cell_angle_alpha 90.00
_cell_angle_beta 100.84
_cell_angle_gamma 90.00
_space_group_name_H-M_alt 'P 1 m 1'
_space_group_IT_number 6
_space_group_name_Hall 'P -2y'
loop_
_atom_site_label
_atom_site_type_symbol
_atom_site_fract_x
_atom_site_fract_y
_atom_site_fract_z
La1 La 0.000 0.000 0.000
Mo1 Mo 0.475 0.500 0.953
Br1 Br 0.389 0.000 0.697
Br2 Br 0.756 0.500 0.285
# - relative energy among the computed polymorphs (eV/atom) = 0.036
# - total moment (Bohr magnetons per cell) = 0.8
# - formation energy without anion corrections (eV/atom) = -0.406
# - crystal system = monoclinic
# - VASP energy (eV per formula unit) = -20.73

=====

No. 11
# PBE Sm2SeI2, relaxed
data_Sm2SeI2
_chemical_formula_sum 'Sm4 Se2 I4'
_cell_length_a 7.400
_cell_length_b 4.276
_cell_length_c 12.107
_cell_angle_alpha 90.00
_cell_angle_beta 103.11
_cell_angle_gamma 90.00
_space_group_name_H-M_alt 'C 1 2/m 1'
_space_group_IT_number 12
_space_group_name_Hall '-C 2y'
loop_
_atom_site_label
_atom_site_type_symbol
_atom_site_fract_x
_atom_site_fract_y
_atom_site_fract_z
Sm1 Sm 0.214 0.000 0.129
Se1 Se 0.000 0.500 0.000
I1 I 0.055 0.000 0.697
# - total moment (Bohr magnetons per cell) = 0.0
# - formation energy without anion corrections (eV/atom) = -1.568
# - crystal system = monoclinic
# - VASP energy (eV per formula unit) = -23.86

=====

No. 12
# PBE Mg2ReTcP, relaxed
data_Mg2ReTcP
_chemical_formula_sum 'Mg2 Re1 Tc1 P1'
_cell_length_a 4.663
_cell_length_b 4.663
_cell_length_c 4.398
_cell_angle_alpha 90.00
_cell_angle_beta 90.00
_cell_angle_gamma 90.00
_space_group_name_H-M_alt 'P 4/m m m'
_space_group_IT_number 123
_space_group_name_Hall '-P 4 2'
loop_
_atom_site_label
_atom_site_type_symbol
_atom_site_fract_x
_atom_site_fract_y
_atom_site_fract_z
Mg1 Mg 0.000 0.500 0.000
Re1 Re 0.000 0.000 0.500
Tc1 Tc 0.500 0.500 0.500
P1 P 0.000 0.000 0.000
# - total moment (Bohr magnetons per cell) = 3.1
# - energy of formation from the pure elements (eV/atom) = 0.842
# - crystal system = tetragonal
# - VASP energy (eV per formula unit) = -27.20

=====

No. 13
# PBE Sm6ZnSe3S2, relaxed
data_Sm6ZnSe3S2
_chemical_formula_sum 'Sm12 Zn2 Se6 S4'
_cell_length_a 7.130
_cell_length_b 12.327
_cell_length_c 7.209
_cell_angle_alpha 90.00
_cell_angle_beta 109.18
_cell_angle_gamma 90.00
_space_group_name_H-M_alt 'C 1 2/m 1'
_space_group_IT_number 12
_space_group_name_Hall '-C 2y'
loop_
_atom_site_label
_atom_site_type_symbol
_atom_site_fract_x
_atom_site_fract_y
_atom_site_fract_z
Sm1 Sm 0.241 0.000 0.236
Sm2 Sm 0.248 0.331 0.239
Zn1 Zn 0.000 0.500 0.000
Se1 Se 0.000 0.000 0.500
Se2 Se 0.000 0.334 0.500
S1 S 0.000 0.166 0.000
# - total moment (Bohr magnetons per cell) = 0.0
# - formation energy without anion corrections (eV/atom) = -1.643
# - crystal system = monoclinic
# - VASP energy (eV per formula unit) = -68.02

=====

No. 14
# PBE Cs2BI6N, relaxed
data_Cs2BI6N
_chemical_formula_sum 'Cs4 B2 I12 N2'
_cell_length_a 7.460
_cell_length_b 7.460
_cell_length_c 12.899
_cell_angle_alpha 90.00
_cell_angle_beta 90.00
_cell_angle_gamma 90.00
_space_group_name_H-M_alt 'I 4/m m m'
_space_group_IT_number 139
_space_group_name_Hall '-I 4 2'
loop_
_atom_site_label
_atom_site_type_symbol
_atom_site_fract_x
_atom_site_fract_y
_atom_site_fract_z
Cs1 Cs 0.000 0.500 0.250
B1 B 0.000 0.000 0.000
I1 I 0.000 0.000 0.304
I2 I 0.232 0.232 0.000
N1 N 0.000 0.000 0.500
# - total moment (Bohr magnetons per cell) = 0.2
# - formation energy without anion corrections (eV/atom) = 0.069
# - crystal system = tetragonal
# - VASP energy (eV per formula unit) = -25.32

=====

No. 15
# PBE CrP4Cl, relaxed
data_CrP4Cl
_chemical_formula_sum 'Cr4 P16 Cl4'
_cell_length_a 8.055
_cell_length_b 8.055
_cell_length_c 8.055
_cell_angle_alpha 90.00
_cell_angle_beta 90.00
_cell_angle_gamma 90.00
_space_group_name_H-M_alt 'F -4 3 m'
_space_group_IT_number 216
_space_group_name_Hall 'F -4 2 3'
loop_
_atom_site_label
_atom_site_type_symbol
_atom_site_fract_x
_atom_site_fract_y
_atom_site_fract_z
Cr1 Cr 0.000 0.000 0.000
P1 P 0.152 0.152 0.652
Cl1 Cl 0.250 0.250 0.250
# - total moment (Bohr magnetons per cell) = 20.0
# - formation energy without anion corrections (eV/atom) = 0.423
# - crystal system = cubic
# - VASP energy (eV per formula unit) = -30.57

=====

No. 16
# PBE YSc2Si, relaxed
data_YSc2Si
_chemical_formula_sum 'Y1 Sc2 Si1'
_cell_length_a 3.451
_cell_length_b 4.578
_cell_length_c 6.086
_cell_angle_alpha 90.00
_cell_angle_beta 105.67
_cell_angle_gamma 90.00
_space_group_name_H-M_alt 'P 1 2/m 1'
_space_group_IT_number 10
_space_group_name_Hall '-P 2y'
loop_
_atom_site_label
_atom_site_type_symbol
_atom_site_fract_x
_atom_site_fract_y
_atom_site_fract_z
Y1 Y 0.000 0.000 0.000
Sc1 Sc 0.375 0.500 0.718
Si1 Si 0.000 0.000 0.500
# - total moment (Bohr magnetons per cell) = 0.0
# - formation energy without anion corrections (eV/atom) = -0.234
# - crystal system = monoclinic
# - VASP energy (eV per formula unit) = -25.49

=====

No. 17
# PBE Tl3Co, relaxed
data_Tl3Co
_chemical_formula_sum 'Tl6 Co2'
_cell_length_a 3.486
_cell_length_b 8.880
_cell_length_c 6.208
_cell_angle_alpha 90.00
_cell_angle_beta 90.00
_cell_angle_gamma 90.00
_space_group_name_H-M_alt 'I m m 2'
_space_group_IT_number 44
_space_group_name_Hall 'I 2 -2'
loop_
_atom_site_label
_atom_site_type_symbol
_atom_site_fract_x
_atom_site_fract_y
_atom_site_fract_z
Tl1 Tl 0.000 0.000 0.000
Tl2 Tl 0.000 0.188 0.551
Co1 Co 0.000 0.500 0.830
# - total moment (Bohr magnetons per cell) = 1.7
# - energy of formation from the pure elements (eV/atom) = 0.395
# - crystal system = orthorhombic
# - VASP energy (eV per formula unit) = -12.63

=====

No. 18
# PBE RbSn2BiS6, relaxed
data_RbSn2BiS6
_chemical_formula_sum 'Rb4 Sn8 Bi4 S24'
_cell_length_a 15.170
_cell_length_b 11.222
_cell_length_c 7.723
_cell_angle_alpha 90.00
_cell_angle_beta 115.32
_cell_angle_gamma 90.00
_space_group_name_H-M_alt 'C 1 2/c 1'
_space_group_IT_number 15
_space_group_name_Hall '-C 2yc'
loop_
_atom_site_label
_atom_site_type_symbol
_atom_site_fract_x
_atom_site_fract_y
_atom_site_fract_z
Rb1 Rb 0.000 0.245 0.250
Sn1 Sn 0.240 0.093 0.092
Bi1 Bi 0.000 0.276 0.750
S1 S 0.097 0.430 0.645
S2 S 0.145 0.004 0.283
S3 S 0.168 0.289 0.101
# - total moment (Bohr magnetons per cell) = 0.0
# - formation energy without anion corrections (eV/atom) = -0.464
# - crystal system = monoclinic
# - VASP energy (eV per formula unit) = -42.26

=====

No. 19
# PBE Li5Mg4Rh, relaxed
data_Li5Mg4Rh
_chemical_formula_sum 'Li10 Mg8 Rh2'
_cell_length_a 16.166
_cell_length_b 3.131
_cell_length_c 9.004
_cell_angle_alpha 90.00
_cell_angle_beta 115.07
_cell_angle_gamma 90.00
_space_group_name_H-M_alt 'C 1 2/m 1'
_space_group_IT_number 12
_space_group_name_Hall '-C 2y'
loop_
_atom_site_label
_atom_site_type_symbol
_atom_site_fract_x
_atom_site_fract_y
_atom_site_fract_z
Li1 Li 0.000 0.000 0.000
Li2 Li 0.152 0.500 0.585
Li3 Li 0.170 0.500 0.182
Mg1 Mg 0.014 0.500 0.279
Mg2 Mg 0.162 0.000 0.875
Rh1 Rh 0.000 0.000 0.500
# - total moment (Bohr magnetons per cell) = 0.0
# - energy of formation from the pure elements (eV/atom) = -0.041
# - crystal system = monoclinic
# - VASP energy (eV per formula unit) = -23.71

=====

No. 20
# PBE Cu2AgS2, relaxed
data_Cu2AgS2
_chemical_formula_sum 'Cu8 Ag4 S8'
_cell_length_a 7.883
_cell_length_b 8.317
_cell_length_c 6.496
_cell_angle_alpha 90.00
_cell_angle_beta 122.23
_cell_angle_gamma 90.00
_space_group_name_H-M_alt 'C 1 2/c 1'
_space_group_IT_number 15
_space_group_name_Hall '-C 2yc'
loop_
_atom_site_label
_atom_site_type_symbol
_atom_site_fract_x
_atom_site_fract_y
_atom_site_fract_z
Cu1 Cu 0.156 0.140 0.052
Ag1 Ag 0.000 0.359 0.250
S1 S 0.000 0.062 0.250
S2 S 0.000 0.346 0.750
# - total moment (Bohr magnetons per cell) = 0.0
# - formation energy without anion corrections (eV/atom) = -0.060
# - crystal system = monoclinic
# - VASP energy (eV per formula unit) = -19.60